Arrangement A

Below is ZnHgAs3 after structural relaxation, with properties calculated at the GGA-PBE level.

Properties
spin magnetization	0.0	μB per formula unit

Lattice parameters (Å, degrees): 5.220 5.220 5.220 90.00 90.00 90.00
Atoms (fractional coordinates):
As1 0.000 0.500 0.000
As2 0.500 0.000 0.000
Hg1 0.000 0.000 0.000
Zn1 0.500 0.500 0.500
As3 0.000 0.000 0.500


Arrangement B

Below is ZnHgAs3 after structural relaxation, with properties calculated at the GGA-PBE level.

Properties
spin magnetization	0.0	μB per formula unit

Lattice parameters (Å, degrees): 4.900 4.900 4.900 90.00 90.00 90.00
Atoms (fractional coordinates):
Zn1 0.000 0.000 0.000
As1 0.000 0.500 0.000
As2 0.000 0.000 0.500
As3 0.500 0.000 0.000
Hg1 0.500 0.500 0.500


Stability, highest: arrangement B


Arrangement A

Below is ZrHgAs3 after structural relaxation, with properties calculated at the GGA-PBE level.

Properties
spin magnetization	0.0	μB per formula unit

Lattice parameters (Å, degrees): 5.216 5.216 5.216 90.00 90.00 90.00
Atoms (fractional coordinates):
Hg1 0.500 0.500 0.500
As1 0.500 0.000 0.000
Zr1 0.000 0.000 0.000
As2 0.000 0.500 0.000
As3 0.000 0.000 0.500


Arrangement B

Below is ZrHgAs3 after structural relaxation, with properties calculated at the GGA-PBE level.

Properties
spin magnetization	0.0	μB per formula unit

Lattice parameters (Å, degrees): 5.063 5.063 5.063 90.00 90.00 90.00
Atoms (fractional coordinates):
Zr1 0.500 0.500 0.500
Hg1 0.000 0.000 0.000
As1 0.500 0.000 0.000
As2 0.000 0.000 0.500
As3 0.000 0.500 0.000


Stability, highest: arrangement A


Arrangement A

Below is ZrHgAs after structural relaxation, with properties calculated at the GGA-PBE level.

Properties
spin magnetization	0.0	μB per formula unit

Lattice parameters (Å, degrees): 3.934 3.934 8.503 90.00 90.00 90.00
Atoms (fractional coordinates):
Zr1 0.000 0.500 0.652
As1 0.500 0.000 0.664
Zr2 0.500 0.000 0.348
As2 0.000 0.500 0.336
Hg1 0.000 0.000 0.000
Hg2 0.500 0.500 0.000


Arrangement B

Below is ZrHgAs after structural relaxation, with properties calculated at the GGA-PBE level.

Properties
spin magnetization	0.0	μB per formula unit

Lattice parameters (Å, degrees): 3.230 3.230 7.247 90.00 90.00 120.00
Atoms (fractional coordinates):
As1 0.000 0.000 0.980
Zr1 0.333 0.667 0.682
Hg1 0.667 0.333 0.339


Arrangement C

Below is ZrHgAs after structural relaxation, with properties calculated at the GGA-PBE level.

Properties
spin magnetization	0.3	μB per formula unit

Lattice parameters (Å, degrees): 3.869 3.869 5.635 90.00 90.00 120.00
Last column: magnetic moment on the atom in μB.
Atoms (fractional coordinates):
As1 0.000 0.000 0.960  0.00
Zr1 0.667 0.333 0.710  0.15
Hg1 0.333 0.667 0.329  0.01


Arrangement D

Below is ZrHgAs after structural relaxation, with properties calculated at the GGA-PBE level.

Properties
spin magnetization	0.0	μB per formula unit

Lattice parameters (Å, degrees): 4.623 4.623 4.623 60.00 60.00 60.00
Atoms (fractional coordinates):
As1 0.250 0.250 0.250
Zr1 0.500 0.500 0.500
Hg1 0.000 0.000 0.000


Stability, highest: arrangement A


Arrangement A

Below is ZrHgAs after structural relaxation, with properties calculated at the GGA-PBE level.

Properties
spin magnetization	0.0	μB per formula unit

Lattice parameters (Å, degrees): 4.711 4.711 4.711 60.00 60.00 60.00
Atoms (fractional coordinates):
Hg1 0.500 0.500 0.500
Zr1 0.250 0.250 0.250
As1 0.000 0.000 0.000


Arrangement B

Below is ZrHgAs after structural relaxation, with properties calculated at the GGA-PBE level.

Properties
spin magnetization	0.0	μB per formula unit

Lattice parameters (Å, degrees): 5.911 5.911 3.538 72.58 72.59 34.82
Atoms (fractional coordinates):
Hg1 0.666 0.666 0.334
Zr1 0.368 0.368 0.632
As1 0.966 0.966 0.034


Stability, highest: arrangement B


Arrangement A

Below is ZrHg3As after structural relaxation, with properties calculated at the GGA-PBE level.

Properties
spin magnetization	0.0	μB per formula unit

Lattice parameters (Å, degrees): 5.521 5.521 5.521 90.00 90.00 90.00
Atoms (fractional coordinates):
Zr1 0.000 0.000 0.000
Hg1 0.000 0.000 0.500
Hg2 0.000 0.500 0.000
Hg3 0.500 0.000 0.000
As1 0.500 0.500 0.500


Arrangement B

Below is ZrHg3As after structural relaxation, with properties calculated at the GGA-PBE level.

Properties
spin magnetization	1.3	μB per formula unit

Lattice parameters (Å, degrees): 5.145 5.145 5.145 90.00 90.00 90.00
Last column: magnetic moment on the atom in μB.
Atoms (fractional coordinates):
Hg1 0.000 0.000 0.500  0.01
Zr1 0.500 0.500 0.500  0.76
Hg2 0.500 0.000 0.000  0.01
As1 0.000 0.000 0.000  0.03
Hg3 0.000 0.500 0.000  0.02


Stability, highest: arrangement B


Arrangement A

Below is Ho3As after structural relaxation, with properties calculated at the GGA-PBE level.

Properties
spin magnetization	0.0	μB per formula unit

Lattice parameters (Å, degrees): 3.752 5.097 6.417 113.40 107.00 90.00
Atoms (fractional coordinates):
As1 0.000 0.917 0.000
Ho1 0.296 0.712 0.592
Ho2 0.500 0.417 0.000
Ho3 0.704 0.120 0.408


Arrangement B

Below is Ho3As after structural relaxation, with properties calculated at the GGA-PBE level.

Properties
spin magnetization	0.0	μB per formula unit

Lattice parameters (Å, degrees): 3.953 3.953 7.569 90.00 90.00 90.00
Atoms (fractional coordinates):
Ho1 0.500 0.000 0.726
Ho2 0.000 0.500 0.440
Ho3 0.500 0.500 0.083
As1 0.000 0.000 0.083


Stability, highest: arrangement A